PBE Tb2Pr6Pu, relaxed; symmetry = C2/c, No. 15; V = 615 Å³/cell; energy of formation = 1.06 eV/f.u.
1.0
10.111 -4.803 0.000
10.111 4.803 0.000
-2.209 0.000 6.330
Tb Pr Pu
4 12 2
direct
0.020 0.373 0.196 Tb
0.373 0.020 0.696 Tb
0.627 0.980 0.304 Tb
0.980 0.627 0.804 Tb
0.026 0.699 0.362 Pr
0.287 0.655 0.971 Pr
0.301 0.974 0.138 Pr
0.331 0.332 0.581 Pr
0.332 0.331 0.081 Pr
0.345 0.713 0.529 Pr
0.655 0.287 0.471 Pr
0.668 0.669 0.919 Pr
0.669 0.668 0.419 Pr
0.699 0.026 0.862 Pr
0.713 0.345 0.029 Pr
0.974 0.301 0.638 Pr
0.000 0.000 0.250 Pu
0.000 0.000 0.750 Pu